Material: DyBeCo
Method: DFT, GGA-PBE
State: optimized geometry

Properties
For the calculated density, the calculation gives 7.7 g/cm3. The value obtained for the formation energy is -231 meV/atom. As for the energy above the most stable polymorph in this dataset: 0.000 eV per atom.

a = 3.9660 Å, b = 3.9660 Å, c = 6.3185 Å
α = 90.00°, β = 90.00°, γ = 90.00°
Fractional coordinates of all 6 atoms:
Dy1 0.2500 0.2500 0.1927
Dy2 0.7500 0.7500 0.8073
Be1 0.2500 0.2500 0.6519
Be2 0.7500 0.7500 0.3481
Co1 0.2500 0.7500 0.5000
Co2 0.7500 0.2500 0.5000

Material: SmAs3Ru3
Method: DFT, GGA-PBE
State: optimized geometry

Properties
For the calculated density, the calculation gives 8.0 g/cm3. The value obtained for the formation energy is -441 meV/atom. As for the energy above the most stable polymorph in this dataset: 0.000 eV per atom.

a = 7.8365 Å, b = 7.8365 Å, c = 7.8365 Å
α = 52.54°, β = 52.54°, γ = 52.54°
Fractional coordinates of all 14 atoms:
Sm1 0.1673 0.1673 0.1673
Sm2 0.8327 0.8327 0.8327
As1 0.1127 0.7175 0.4022
As2 0.2825 0.5978 0.8873
As3 0.4022 0.1127 0.7175
As4 0.5978 0.8873 0.2825
As5 0.7175 0.4022 0.1127
As6 0.8873 0.2825 0.5978
Ru1 0.0165 0.3887 0.7293
Ru2 0.2707 0.9835 0.6113
Ru3 0.3887 0.7293 0.0165
Ru4 0.6113 0.2707 0.9835
Ru5 0.7293 0.0165 0.3887
Ru6 0.9835 0.6113 0.2707

Material: Y2Bi2I
Method: DFT, GGA-PBE
State: optimized geometry

Properties
For the calculated density, the calculation gives 7.7 g/cm3. The value obtained for the energy relative to the elements, uncorrected is -0.78 eV/atom.

a = 8.6522 Å, b = 8.6522 Å, c = 4.1607 Å
α = 90.00°, β = 90.00°, γ = 90.00°
Fractional coordinates of all 10 atoms:
Y1 0.1619 0.3381 0.0000
Y2 0.3381 0.8381 0.0000
Y3 0.6619 0.1619 0.0000
Y4 0.8381 0.6619 0.0000
Bi1 0.1361 0.6361 0.5000
Bi2 0.3639 0.1361 0.5000
Bi3 0.6361 0.8639 0.5000
Bi4 0.8639 0.3639 0.5000
I1 0.0000 0.0000 0.0000
I2 0.5000 0.5000 0.0000

Material: Ce2I2Br
Method: DFT, GGA-PBE
State: optimized geometry

Properties
For the calculated density, the calculation gives 6.0 g/cm3. The value obtained for the energy relative to the elements, uncorrected is -1.17 eV/atom.

a = 7.4207 Å, b = 7.4207 Å, c = 8.8364 Å
α = 111.01°, β = 111.01°, γ = 49.90°
Fractional coordinates of all 10 atoms:
Ce1 0.0137 0.0137 0.2824
Ce2 0.3363 0.3363 0.4269
Ce3 0.6637 0.6637 0.5731
Ce4 0.9863 0.9863 0.7176
I1 0.1982 0.1982 0.6476
I2 0.4792 0.4792 0.2067
I3 0.5208 0.5208 0.7933
I4 0.8018 0.8018 0.3524
Br1 0.1529 0.1529 0.0874
Br2 0.8471 0.8471 0.9126

Calculated volume across the listed records, respectively: 99.4, 280.7, 311.5, 341.9 Å³/cell.